[1]
Entry from the Alexandria database: crystalline NaMnSn at its relaxed geometry (PBE).

extended XYZ file:
```
6
Lattice="4.521 0.000 0.000 0.000 3.319 0.000 -0.938 0.000 8.340" Properties=species:S:1:pos:R:3 pbc="T T T"
Na 0.647 0.830 3.140
Na 2.935 2.490 5.200
Mn 0.676 2.490 0.189
Mn 2.906 0.830 8.151
Sn 0.683 0.830 6.585
Sn 2.900 2.490 1.755
```

- ΔE_f (meV per atom) = 184
- space group = P2_1/m (11)

[2]
Entry from the Alexandria database: crystalline Na2MnSnTe4 at its relaxed geometry (PBE).

extended XYZ file:
```
8
Lattice="7.308 0.000 0.000 0.000 4.232 0.000 -2.434 0.000 7.630" Properties=species:S:1:pos:R:3 pbc="T T T"
Na 0.000 0.000 0.000
Na 3.654 2.116 0.000
Mn -1.217 2.116 3.815
Sn 2.437 0.000 3.815
Te -0.115 0.000 5.419
Te 1.014 2.116 2.162
Te 3.860 2.116 5.467
Te 4.989 0.000 2.211
```

- energy relative to the elements, uncorrected (eV per atom) = -0.46
- space group = P2/m (10)

[3]
Entry from the Alexandria database: crystalline NaMnSnTe3 at its relaxed geometry (PBE).

extended XYZ file:
```
12
Lattice="8.519 0.000 0.000 0.000 4.240 0.000 -2.291 0.000 10.615" Properties=species:S:1:pos:R:3 pbc="T T T"
Na 1.329 1.060 3.107
Na 4.899 3.180 7.508
Mn -0.776 1.060 6.426
Mn 7.003 3.180 4.189
Sn 0.736 3.180 9.255
Sn 5.491 1.060 1.360
Te -1.500 1.060 9.001
Te 0.824 3.180 5.690
Te 3.256 3.180 1.607
Te 2.972 1.060 9.008
Te 5.404 1.060 4.924
Te 7.728 3.180 1.614
```

- energy relative to the elements, uncorrected (eV per atom) = -0.33
- space group = P2_1/m (11)

[4]
Entry from the Alexandria database: crystalline Na2MnSnW at its relaxed geometry (PBE).

extended XYZ file:
```
5
Lattice="5.223 0.000 0.000 0.000 5.223 0.000 0.000 0.000 4.559" Properties=species:S:1:pos:R:3 pbc="T T T"
Na 0.000 2.612 0.000
Na 2.612 0.000 0.000
Mn 0.000 0.000 0.000
Sn 2.612 2.612 2.280
W 0.000 0.000 2.280
```

- ΔE_f (meV per atom) = 1216
- space group = P4/mmm (123)

[5]
Entry from the Alexandria database: crystalline Na2SrMn at its relaxed geometry (PBE).

extended XYZ file:
```
4
Lattice="0.000 4.020 4.020 4.020 0.000 4.020 4.020 4.020 0.000" Properties=species:S:1:pos:R:3 pbc="T T T"
Na 2.010 2.010 2.010
Na 6.030 6.030 6.030
Sr 0.000 0.000 0.000
Mn 4.020 4.020 4.020
```

- ΔE to the lowest computed polymorph (meV per atom) = 0.0
- ΔE_f (meV per atom) = 513
- space group = Fm-3m (225)

[6]
Entry from the Alexandria database: crystalline Na3SrMn at its relaxed geometry (PBE).

extended XYZ file:
```
5
Lattice="5.825 0.000 0.000 0.000 5.825 0.000 0.000 0.000 5.825" Properties=species:S:1:pos:R:3 pbc="T T T"
Na 0.000 0.000 2.912
Na 0.000 2.912 0.000
Na 2.912 0.000 0.000
Sr 2.912 2.912 2.912
Mn 0.000 0.000 0.000
```

- ΔE_f (meV per atom) = 578
- space group = Pm-3m (221)

[7]
Entry from the Alexandria database: crystalline NaSrMn2 at its relaxed geometry (PBE).

extended XYZ file:
```
8
Lattice="-2.496 2.496 10.317 2.496 -2.496 10.317 2.496 2.496 -10.317" Properties=species:S:1:pos:R:3 pbc="T T T"
Na 0.000 0.000 0.000
Na 0.000 2.496 5.159
Sr 2.496 0.000 5.159
Sr 0.000 0.000 10.317
Mn -0.151 1.248 2.579
Mn 1.248 2.345 7.738
Mn 0.151 3.744 2.579
Mn -1.248 2.647 7.738
```

- ΔE to the lowest computed polymorph (meV per atom) = 166.4
- ΔE_f (meV per atom) = 979
- space group = I-42d (122)

[8]
Entry from the Alexandria database: crystalline NaSrMn2 at its relaxed geometry (PBE).

extended XYZ file:
```
4
Lattice="0.000 3.788 3.788 3.788 0.000 3.788 3.788 3.788 0.000" Properties=species:S:1:pos:R:3 pbc="T T T"
Na 0.000 0.000 0.000
Sr 3.788 3.788 3.788
Mn 1.894 1.894 1.894
Mn 5.683 5.683 5.683
```

- ΔE to the lowest computed polymorph (meV per atom) = 0.0
- ΔE_f (meV per atom) = 813
- space group = Fm-3m (225)

[9]
Entry from the Alexandria database: crystalline NaSr3Mn at its relaxed geometry (PBE).

extended XYZ file:
```
5
Lattice="6.346 0.000 0.000 0.000 6.346 0.000 0.000 0.000 6.346" Properties=species:S:1:pos:R:3 pbc="T T T"
Na 0.000 0.000 0.000
Sr 0.000 0.000 3.173
Sr 0.000 3.173 0.000
Sr 3.173 0.000 0.000
Mn 3.173 3.173 3.173
```

- ΔE to the lowest computed polymorph (meV per atom) = 209.4
- ΔE_f (meV per atom) = 825
- space group = Pm-3m (221)

[10]
Entry from the Alexandria database: crystalline Na2Sr2Mn at its relaxed geometry (PBE).

extended XYZ file:
```
10
Lattice="8.299 0.000 0.000 0.000 8.299 0.000 0.000 0.000 5.541" Properties=species:S:1:pos:R:3 pbc="T T T"
Na 1.099 3.051 0.000
Na 3.051 7.200 0.000
Na 5.248 1.099 0.000
Na 7.200 5.248 0.000
Sr 1.529 5.679 2.771
Sr 2.621 1.529 2.771
Sr 5.679 6.770 2.771
Sr 6.770 2.621 2.771
Mn 0.000 0.000 0.000
Mn 4.150 4.150 0.000
```

- ΔE to the lowest computed polymorph (meV per atom) = 0.0
- ΔE_f (meV per atom) = 432
- space group = P4/mbm (127)

[11]
Entry from the Alexandria database: crystalline Na2SrMn at its relaxed geometry (PBE).

extended XYZ file:
```
8
Lattice="-2.347 2.347 12.545 2.347 -2.347 12.545 2.347 2.347 -12.545" Properties=species:S:1:pos:R:3 pbc="T T T"
Na 3.520 1.024 -3.136
Na 1.024 1.173 3.136
Na -1.173 1.323 9.409
Na 1.323 1.173 15.682
Sr 2.347 0.000 6.273
Sr 0.000 0.000 12.545
Mn 0.000 0.000 0.000
Mn 0.000 2.347 6.273
```

- ΔE to the lowest computed polymorph (meV per atom) = 23.1
- ΔE_f (meV per atom) = 536
- space group = I-42d (122)

[12]
Entry from the Alexandria database: crystalline Na2Sr2Mn at its relaxed geometry (PBE).

extended XYZ file:
```
5
Lattice="-3.339 3.339 4.411 3.339 -3.339 4.411 3.339 3.339 -4.411" Properties=species:S:1:pos:R:3 pbc="T T T"
Na 0.000 0.000 1.356
Na 0.000 0.000 7.465
Sr 3.339 0.000 2.205
Sr 0.000 3.339 2.205
Mn 0.000 0.000 4.411
```

- ΔE to the lowest computed polymorph (meV per atom) = 130.7
- ΔE_f (meV per atom) = 563
- space group = I4/mmm (139)

| no. | uncorrected energy (eV per atom) | M_tot (μB/f.u.) |
| --- | --- | --- |
| 1 | -4.647 | 0.4 |
| 2 | -4.006 | 3.7 |
| 3 | -4.320 | 4.8 |
| 4 | -4.537 | 1.1 |
| 5 | -2.860 | 4.3 |
| 6 | -2.384 | 4.1 |
| 7 | -4.356 | 7.7 |
| 8 | -4.522 | 8.1 |
| 9 | -2.282 | 4.3 |
| 10 | -2.602 | 4.5 |
| 11 | -2.837 | 4.1 |
| 12 | -2.471 | 4.8 |